KMgCuHg2: relaxed, PBE.

The structure belongs to space group P4/mmm (No. 123); the cell edges are 5.209, 5.209 and 5.070 Å and the angles 90.00°, 90.00° and 90.00°. The asymmetric unit holds K at (0.000, 0.000, 0.000), Mg at (0.500, 0.500, 0.000), Cu at (0.500, 0.500, 0.500) and Hg at (0.000, 0.500, 0.500).

The total magnetization comes out at 0.00 μB/f.u. The value obtained for the total energy is -7.49 eV per cell. As for the formation energy from the elements: -19 meV/atom.

=====

K2CuHgN: relaxed, PBE.

The structure belongs to space group P4/mmm (No. 123); the cell edges are 5.995, 5.995 and 3.591 Å and the angles 90.00°, 90.00° and 90.00°. The asymmetric unit holds K at (0.000, 0.500, 0.000), Cu at (0.000, 0.000, 0.500), Hg at (0.500, 0.500, 0.500) and N at (0.000, 0.000, 0.000).

The total magnetization comes out at 0.00 μB/f.u. The value obtained for the total energy is -14.63 eV per cell. As for the formation energy (no corrections): 0.06 eV per atom.

=====

KCuHgN2: relaxed, PBE.

The structure belongs to space group P4/mmm (No. 123); the cell edges are 4.467, 4.467 and 4.902 Å and the angles 90.00°, 90.00° and 90.00°. The asymmetric unit holds K at (0.000, 0.000, 0.000), Cu at (0.500, 0.500, 0.000), Hg at (0.500, 0.500, 0.500) and N at (0.000, 0.500, 0.500).

The total magnetization comes out at 1.69 μB/f.u. The value obtained for the total energy is -14.05 eV per cell. As for the formation energy (no corrections): 1.62 eV per atom.

=====

KNaCuHg2: relaxed, PBE.

The structure belongs to space group P4/mmm (No. 123); the cell edges are 5.213, 5.213 and 5.471 Å and the angles 90.00°, 90.00° and 90.00°. The asymmetric unit holds K at (0.000, 0.000, 0.000), Na at (0.500, 0.500, 0.000), Cu at (0.500, 0.500, 0.500) and Hg at (0.000, 0.500, 0.500).

The total magnetization comes out at 0.00 μB/f.u. The value obtained for the total energy is -7.39 eV per cell. As for the formation energy from the elements: -55 meV/atom.

=====

K2NaCuHg: relaxed, PBE.

The structure belongs to space group P4/mmm (No. 123); the cell edges are 6.287, 6.287 and 5.171 Å and the angles 90.00°, 90.00° and 90.00°. The asymmetric unit holds K at (0.000, 0.500, 0.000), Na at (0.000, 0.000, 0.500), Cu at (0.500, 0.500, 0.000) and Hg at (0.500, 0.500, 0.500).

The total magnetization comes out at 0.00 μB/f.u. The value obtained for the total energy is -7.39 eV per cell. As for the formation energy from the elements: 104 meV/atom.

=====

K2CuHgO4: relaxed, PBE.

The structure belongs to space group I-42m (No. 121); the cell edges are 6.590, 6.590 and 6.349 Å and the angles 90.00°, 90.00° and 90.00°. The asymmetric unit holds K at (0.000, 0.500, 0.000), Cu at (0.000, 0.000, 0.000), Hg at (0.000, 0.000, 0.500) and O at (0.141, 0.141, 0.204).

The total magnetization comes out at 0.98 μB/f.u. The value obtained for the total energy is -62.26 eV per cell. As for the formation energy (no corrections): -0.59 eV per atom.

=====

K2CuHgO2: relaxed, PBE.

The structure belongs to space group Cmc2_1 (No. 36); the cell edges are 11.940, 8.947 and 5.486 Å and the angles 90.00°, 90.00° and 90.00°. The asymmetric unit holds K at (0.182, 0.147, 0.000), Cu at (0.000, 0.158, 0.500), Hg at (0.000, 0.464, 0.503) and O at (0.147, 0.157, 0.500).

The total magnetization comes out at 0.81 μB/f.u. The value obtained for the total energy is -86.28 eV per cell. As for the formation energy (no corrections): -0.84 eV per atom.

=====

K2CuHgO: relaxed, PBE.

The structure belongs to space group P4/mmm (No. 123); the cell edges are 5.924, 5.924 and 3.684 Å and the angles 90.00°, 90.00° and 90.00°. The asymmetric unit holds K at (0.000, 0.500, 0.000), Cu at (0.000, 0.000, 0.500), Hg at (0.500, 0.500, 0.500) and O at (0.000, 0.000, 0.000).

The total magnetization comes out at 0.00 μB/f.u. The value obtained for the total energy is -14.34 eV per cell. As for the formation energy (no corrections): -0.56 eV per atom.

=====

KCuHg2Pd: relaxed, PBE.

The structure belongs to space group P4/mmm (No. 123); the cell edges are 5.337, 5.337 and 4.977 Å and the angles 90.00°, 90.00° and 90.00°. The asymmetric unit holds K at (0.000, 0.000, 0.000), Cu at (0.500, 0.500, 0.000), Hg at (0.000, 0.500, 0.500) and Pd at (0.500, 0.500, 0.500).

The total magnetization comes out at 0.00 μB/f.u. The value obtained for the total energy is -11.10 eV per cell. As for the formation energy from the elements: -21 meV/atom.

=====

KRbCuHg2: relaxed, PBE.

The structure belongs to space group P4/mmm (No. 123); the cell edges are 5.341, 5.341 and 5.939 Å and the angles 90.00°, 90.00° and 90.00°. The asymmetric unit holds K at (0.000, 0.000, 0.000), Rb at (0.500, 0.500, 0.000), Cu at (0.000, 0.000, 0.500) and Hg at (0.000, 0.500, 0.500).

The total magnetization comes out at 0.00 μB/f.u. The value obtained for the total energy is -6.75 eV per cell. As for the formation energy from the elements: 3 meV/atom.

=====

K2CuHgRh: relaxed, PBE.

The structure belongs to space group P4/mmm (No. 123); the cell edges are 6.120, 6.120 and 4.739 Å and the angles 90.00°, 90.00° and 90.00°. The asymmetric unit holds K at (0.000, 0.500, 0.000), Cu at (0.000, 0.000, 0.500), Hg at (0.500, 0.500, 0.500) and Rh at (0.000, 0.000, 0.000).

The total magnetization comes out at 0.52 μB/f.u. The value obtained for the total energy is -11.64 eV per cell. As for the formation energy from the elements: 462 meV/atom.

=====

K2CuHgSb: relaxed, PBE.

The structure belongs to space group P4/mmm (No. 123); the cell edges are 6.394, 6.394 and 4.769 Å and the angles 90.00°, 90.00° and 90.00°. The asymmetric unit holds K at (0.000, 0.500, 0.000), Cu at (0.000, 0.000, 0.000), Hg at (0.500, 0.500, 0.500) and Sb at (0.000, 0.000, 0.500).

The total magnetization comes out at 0.00 μB/f.u. The value obtained for the total energy is -11.44 eV per cell. As for the formation energy (no corrections): -0.14 eV per atom.

=====

no.,N(E_F) (states/eV/cell)
1,2.27
2,2.15
3,4.15
4,1.91
5,4.32
6,10.51
7,22.79
8,0.97
9,0.92
10,2.05
11,3.07
12,2.12